No. 1
The following is a DFT calculation (GGA-PBEsol) of a geometry-optimized TaCd2 structure.

Properties
total energy: -4.48 eV per atom
formation energy from the elements: 0.50 eV per atom
total magnetization: 0.00 Bohr magnetons per cell

Unit cell a=5.012 b=5.640 c=5.640 alpha=78.61 beta=63.62 gamma=63.62
Positions (direct):
Cd: 0.659 0.500 0.182
Cd: 0.159 0.182 0.500
Cd: 0.841 0.818 0.500
Cd: 0.341 0.500 0.818
Ta: 0.750 0.000 0.000
Ta: 0.250 0.000 0.000

=====

No. 2
The following is a DFT calculation (GGA-PBEsol) of a geometry-optimized TaCd2 structure.

Properties
total energy: -4.74 eV per atom
formation energy from the elements: 0.24 eV per atom
total magnetization: 0.00 Bohr magnetons per cell

Unit cell a=2.852 b=2.852 c=14.394 alpha=95.69 beta=95.69 gamma=90.00
Positions (direct):
Cd: 0.671 0.171 0.342
Cd: 0.829 0.329 0.658
Cd: 0.421 0.421 0.842
Cd: 0.579 0.579 0.158
Ta: 0.000 0.000 0.000
Ta: 0.250 0.750 0.500

=====

No. 3
The following is a DFT calculation (GGA-PBEsol) of a geometry-optimized Ta8Cd structure.

Properties
total energy: -11.21 eV per atom
formation energy from the elements: 0.08 eV per atom
total magnetization: 0.00 Bohr magnetons per cell

Unit cell a=3.396 b=7.089 c=7.089 alpha=86.71 beta=76.14 gamma=76.14
Positions (direct):
Cd: 0.000 0.000 0.000
Ta: 0.000 0.667 0.333
Ta: 0.000 0.333 0.667
Ta: 0.333 0.667 0.667
Ta: 0.330 0.341 0.000
Ta: 0.330 0.000 0.341
Ta: 0.667 0.333 0.333
Ta: 0.670 0.000 0.659
Ta: 0.670 0.659 0.000

=====

No. 4
The following is a DFT calculation (GGA-PBEsol) of a geometry-optimized TaCd2 structure.

Properties
total energy: -4.55 eV per atom
formation energy from the elements: 0.43 eV per atom
total magnetization: 0.00 Bohr magnetons per cell

Unit cell a=5.396 b=5.396 c=5.396 alpha=60.00 beta=60.00 gamma=60.00
Positions (direct):
Cd: 0.125 0.125 0.625
Cd: 0.125 0.625 0.125
Cd: 0.125 0.125 0.125
Cd: 0.625 0.125 0.125
Ta: 0.750 0.750 0.750
Ta: 0.500 0.500 0.500

=====

No. 5
The following is a DFT calculation (GGA-PBEsol) of a geometry-optimized Ta2CdTc structure.

Properties
total energy: -9.19 eV per atom
formation energy from the elements: 0.20 eV per atom
total magnetization: 0.00 Bohr magnetons per cell

Unit cell a=2.738 b=5.369 c=5.369 alpha=116.72 beta=98.96 gamma=98.96
Positions (direct):
Cd: 0.500 0.500 0.500
Ta: 0.000 0.500 0.000
Ta: 0.000 0.000 0.500
Tc: 0.500 0.000 0.000

=====

No. 6
The following is a DFT calculation (GGA-PBEsol) of a geometry-optimized Ta2CdTc structure.

Properties
total energy: -9.28 eV per atom
formation energy from the elements: 0.11 eV per atom
total magnetization: 0.00 Bohr magnetons per cell

Unit cell a=2.813 b=2.813 c=9.243 alpha=90.00 beta=90.00 gamma=110.28
Positions (direct):
Cd: 0.500 0.500 0.259
Ta: 0.000 0.000 0.989
Ta: 0.500 0.500 0.737
Tc: 0.000 0.000 0.516

=====

No. 7
The following is a DFT calculation (GGA-PBEsol) of a geometry-optimized TaCd2Tc structure.

Properties
energy above the most stable polymorph in this dataset: 163.4 meV per atom
total energy: -6.11 eV per atom
formation energy from the elements: 0.44 eV per atom
total magnetization: 0.24 Bohr magnetons per cell

Unit cell a=2.773 b=2.773 c=8.965 alpha=90.00 beta=90.00 gamma=90.00
Site moments in Bohr magnetons follow the coordinates.
Positions (direct):
Cd: 0.000 0.000 0.740  0.00
Cd: 0.000 0.000 0.260  0.00
Ta: 0.500 0.500 0.000  -0.01
Tc: 0.500 0.500 0.500  0.24

=====

No. 8
The following is a DFT calculation (GGA-PBEsol) of a geometry-optimized TaCd2Tc structure.

Properties
energy above the most stable polymorph in this dataset: 95.4 meV per atom
total energy: -6.18 eV per atom
formation energy from the elements: 0.37 eV per atom
total magnetization: 0.00 Bohr magnetons per cell

Unit cell a=2.749 b=5.346 c=5.346 alpha=118.77 beta=90.00 gamma=90.00
Positions (direct):
Cd: 0.000 0.500 0.000
Cd: 0.000 0.000 0.500
Ta: 0.500 0.000 0.000
Tc: 0.500 0.500 0.500

=====

No. 9
The following is a DFT calculation (GGA-PBEsol) of a geometry-optimized TaCd2Tc structure.

Properties
energy above the most stable polymorph in this dataset: 11.9 meV per atom
total energy: -6.26 eV per atom
formation energy from the elements: 0.29 eV per atom
total magnetization: 0.00 Bohr magnetons per cell

Unit cell a=3.874 b=3.874 c=5.326 alpha=111.33 beta=111.33 gamma=90.00
Positions (direct):
Cd: 0.750 0.250 0.500
Cd: 0.250 0.750 0.500
Ta: 0.500 0.500 0.000
Tc: 0.000 0.000 0.000

=====

No. 10
The following is a DFT calculation (GGA-PBEsol) of a geometry-optimized TaCd2Tc structure.

Properties
energy above the most stable polymorph in this dataset: 79.9 meV per atom
total energy: -6.20 eV per atom
formation energy from the elements: 0.36 eV per atom
total magnetization: 0.00 Bohr magnetons per cell

Unit cell a=2.745 b=5.444 c=5.437 alpha=59.96 beta=84.27 gamma=78.49
Positions (direct):
Cd: 0.000 0.500 0.500
Cd: 0.000 0.000 0.500
Ta: 0.500 0.000 0.000
Tc: 0.500 0.500 0.000

=====

No. 11
The following is a DFT calculation (GGA-PBEsol) of a geometry-optimized TaCd2Tc structure.

Properties
energy above the most stable polymorph in this dataset: 81.4 meV per atom
total energy: -6.19 eV per atom
formation energy from the elements: 0.36 eV per atom
total magnetization: 0.00 Bohr magnetons per cell

Unit cell a=2.765 b=4.552 c=5.464 alpha=90.00 beta=90.00 gamma=90.00
Positions (direct):
Cd: 0.000 0.000 0.746
Cd: 0.000 0.000 0.254
Ta: 0.500 0.500 0.000
Tc: 0.500 0.500 0.500

=====

No. 12
The following is a DFT calculation (GGA-PBEsol) of a geometry-optimized TaCd2Tc structure.

Properties
energy above the most stable polymorph in this dataset: 0.0 meV per atom
total energy: -6.28 eV per atom
formation energy from the elements: 0.28 eV per atom
total magnetization: 0.00 Bohr magnetons per cell

Unit cell a=3.433 b=4.245 c=4.723 alpha=90.00 beta=90.00 gamma=90.00
Positions (direct):
Cd: 0.000 0.000 0.000
Cd: 0.500 0.500 0.000
Ta: 0.500 0.000 0.500
Tc: 0.000 0.500 0.500

=====

No. 13
The following is a DFT calculation (GGA-PBEsol) of a geometry-optimized TaCd2Tc structure.

Properties
energy above the most stable polymorph in this dataset: 46.3 meV per atom
total energy: -6.23 eV per atom
formation energy from the elements: 0.32 eV per atom
total magnetization: 0.00 Bohr magnetons per cell

Unit cell a=2.750 b=4.956 c=5.330 alpha=95.55 beta=90.00 gamma=106.11
Positions (direct):
Cd: 0.997 0.994 0.012
Cd: 0.749 0.499 0.238
Ta: 0.501 0.001 0.527
Tc: 0.253 0.507 0.723

=====

No. 14
The following is a DFT calculation (GGA-PBEsol) of a geometry-optimized Ta2CdTe structure.

Properties
formation energy (no corrections): 0.377 eV per atom
energy above the most stable polymorph in this dataset: 41.4 meV per atom
total energy: -7.08 eV per atom
total magnetization: 0.00 Bohr magnetons per cell

Unit cell a=3.413 b=4.898 c=5.502 alpha=116.43 beta=108.07 gamma=90.00
Positions (direct):
Cd: 0.000 0.500 0.000
Te: 0.500 0.000 0.000
Ta: 0.758 0.758 0.515
Ta: 0.242 0.242 0.485

=====

No. 15
The following is a DFT calculation (GGA-PBEsol) of a geometry-optimized Ta2CdTe structure.

Properties
formation energy (no corrections): 0.355 eV per atom
energy above the most stable polymorph in this dataset: 19.0 meV per atom
total energy: -7.10 eV per atom
total magnetization: 0.00 Bohr magnetons per cell

Unit cell a=3.300 b=4.999 c=5.054 alpha=98.16 beta=109.06 gamma=90.00
Positions (direct):
Cd: 0.500 0.000 0.000
Te: 0.000 0.500 0.000
Ta: 0.249 0.241 0.497
Ta: 0.751 0.759 0.503

=====

No. 16
The following is a DFT calculation (GGA-PBEsol) of a geometry-optimized Ta2CdTe structure.

Properties
formation energy (no corrections): 0.447 eV per atom
energy above the most stable polymorph in this dataset: 111.2 meV per atom
total energy: -7.01 eV per atom
total magnetization: 0.00 Bohr magnetons per cell

Unit cell a=3.058 b=5.364 c=5.364 alpha=113.25 beta=99.44 gamma=99.44
Positions (direct):
Cd: 0.500 0.500 0.500
Te: 0.500 0.000 0.000
Ta: 0.000 0.500 0.000
Ta: 0.000 0.000 0.500

=====

No. 17
The following is a DFT calculation (GGA-PBEsol) of a geometry-optimized Ta2CdTe structure.

Properties
formation energy (no corrections): 0.645 eV per atom
energy above the most stable polymorph in this dataset: 308.8 meV per atom
total energy: -6.81 eV per atom
total magnetization: 0.00 Bohr magnetons per cell

Unit cell a=4.814 b=4.814 c=4.814 alpha=60.00 beta=60.00 gamma=60.00
Positions (direct):
Cd: 0.500 0.500 0.500
Te: 0.250 0.250 0.250
Ta: 0.000 0.000 0.000
Ta: 0.750 0.750 0.750

=====

No. 18
The following is a DFT calculation (GGA-PBEsol) of a geometry-optimized Ta4CdTe structure.

Properties
formation energy (no corrections): 0.521 eV per atom
total energy: -8.63 eV per atom
total magnetization: 0.00 Bohr magnetons per cell

Unit cell a=5.518 b=5.518 c=5.518 alpha=60.00 beta=60.00 gamma=60.00
Positions (direct):
Cd: 0.000 0.000 0.000
Ta: 0.374 0.374 0.374
Ta: 0.374 0.374 0.879
Ta: 0.879 0.374 0.374
Ta: 0.374 0.879 0.374
Te: 0.750 0.750 0.750

=====

No. 19
The following is a DFT calculation (GGA-PBEsol) of a geometry-optimized Ta2CdTe structure.

Properties
formation energy (no corrections): 0.410 eV per atom
energy above the most stable polymorph in this dataset: 74.0 meV per atom
total energy: -7.05 eV per atom
total magnetization: 0.00 Bohr magnetons per cell

Unit cell a=3.444 b=4.627 c=4.859 alpha=90.00 beta=90.00 gamma=90.00
Positions (direct):
Cd: 0.000 0.500 0.500
Te: 0.500 0.500 0.000
Ta: 0.000 0.000 0.000
Ta: 0.500 0.000 0.500

=====

No. 20
The following is a DFT calculation (GGA-PBEsol) of a geometry-optimized Ta2CdTe structure.

Properties
formation energy (no corrections): 0.336 eV per atom
energy above the most stable polymorph in this dataset: 0.0 meV per atom
total energy: -7.12 eV per atom
total magnetization: 0.00 Bohr magnetons per cell

Unit cell a=3.432 b=4.766 c=5.573 alpha=115.31 beta=107.93 gamma=90.00
Positions (direct):
Cd: 0.748 0.248 0.497
Te: 0.516 0.516 0.031
Ta: 0.984 0.984 0.968
Ta: 0.252 0.752 0.504

=====

No. 21
The following is a DFT calculation (GGA-PBEsol) of a geometry-optimized TaTlCd2 structure.

Properties
energy above the most stable polymorph in this dataset: 110.0 meV per atom
total energy: -3.93 eV per atom
formation energy from the elements: 0.46 eV per atom
total magnetization: 0.00 Bohr magnetons per cell

Unit cell a=2.979 b=5.357 c=6.025 alpha=116.40 beta=104.31 gamma=90.00
Positions (direct):
Tl: 0.246 0.746 0.492
Cd: 0.005 0.005 0.010
Cd: 0.753 0.253 0.506
Ta: 0.495 0.495 0.991

=====

No. 22
The following is a DFT calculation (GGA-PBEsol) of a geometry-optimized TaTlCd2 structure.

Properties
energy above the most stable polymorph in this dataset: 338.0 meV per atom
total energy: -3.70 eV per atom
formation energy from the elements: 0.69 eV per atom
total magnetization: 1.68 Bohr magnetons per cell

Unit cell a=4.887 b=4.887 c=4.887 alpha=60.00 beta=60.00 gamma=60.00
Site moments in Bohr magnetons follow the coordinates.
Positions (direct):
Tl: 0.250 0.250 0.250  0.03
Cd: 0.000 0.000 0.000  0.00
Cd: 0.750 0.750 0.750  0.02
Ta: 0.500 0.500 0.500  1.13

=====

No. 23
The following is a DFT calculation (GGA-PBEsol) of a geometry-optimized TaTlCd2 structure.

Properties
energy above the most stable polymorph in this dataset: 50.2 meV per atom
total energy: -3.99 eV per atom
formation energy from the elements: 0.40 eV per atom
total magnetization: 0.00 Bohr magnetons per cell

Unit cell a=2.998 b=4.920 c=5.548 alpha=90.00 beta=90.00 gamma=90.00
Positions (direct):
Tl: 0.500 0.500 0.240
Cd: 0.000 0.000 0.019
Cd: 0.000 0.500 0.711
Ta: 0.500 0.000 0.531

=====

No. 24
The following is a DFT calculation (GGA-PBEsol) of a geometry-optimized TaTlCd2 structure.

Properties
energy above the most stable polymorph in this dataset: 0.0 meV per atom
total energy: -4.04 eV per atom
formation energy from the elements: 0.35 eV per atom
total magnetization: 0.00 Bohr magnetons per cell

Unit cell a=3.037 b=5.031 c=6.172 alpha=114.05 beta=104.24 gamma=90.00
Positions (direct):
Tl: 0.000 0.500 0.000
Cd: 0.769 0.769 0.537
Cd: 0.231 0.231 0.463
Ta: 0.500 0.000 0.000

=====

No. 25
The following is a DFT calculation (GGA-PBEsol) of a geometry-optimized TaTlCd2 structure.

Properties
energy above the most stable polymorph in this dataset: 156.2 meV per atom
total energy: -3.89 eV per atom
formation energy from the elements: 0.51 eV per atom
total magnetization: 0.00 Bohr magnetons per cell

Unit cell a=4.157 b=4.157 c=5.502 alpha=112.19 beta=112.19 gamma=90.00
Positions (direct):
Tl: 0.250 0.750 0.500
Cd: 0.000 0.000 0.000
Cd: 0.750 0.250 0.500
Ta: 0.500 0.500 0.000

=====

No. 26
The following is a DFT calculation (GGA-PBEsol) of a geometry-optimized TaCdW3 structure.

Properties
total energy: -8.75 eV per atom
formation energy from the elements: 2.29 eV per atom
total magnetization: 0.00 Bohr magnetons per cell

Unit cell a=4.754 b=4.754 c=4.754 alpha=90.00 beta=90.00 gamma=90.00
Positions (direct):
Cd: 0.500 0.500 0.500
W: 0.000 0.500 0.000
W: 0.000 0.000 0.500
W: 0.500 0.000 0.000
Ta: 0.000 0.000 0.000

=====

No. 27
The following is a DFT calculation (GGA-PBEsol) of a geometry-optimized TaCd2W structure.

Properties
energy above the most stable polymorph in this dataset: 451.4 meV per atom
total energy: -6.33 eV per atom
formation energy from the elements: 0.86 eV per atom
total magnetization: 0.00 Bohr magnetons per cell

Unit cell a=4.633 b=4.633 c=4.633 alpha=60.00 beta=60.00 gamma=60.00
Positions (direct):
Cd: 0.250 0.250 0.250
Cd: 0.750 0.750 0.750
Ta: 0.000 0.000 0.000
W: 0.500 0.500 0.500

=====

No. 28
The following is a DFT calculation (GGA-PBEsol) of a geometry-optimized Ta2CdW structure.

Properties
total energy: -9.66 eV per atom
formation energy from the elements: 0.37 eV per atom
total magnetization: 0.00 Bohr magnetons per cell

Unit cell a=2.753 b=5.277 c=5.276 alpha=114.51 beta=90.00 gamma=90.00
Positions (direct):
Cd: 0.000 0.500 0.500
W: 0.500 0.500 0.000
Ta: 0.000 0.000 0.000
Ta: 0.500 0.000 0.500

=====

No. 29
The following is a DFT calculation (GGA-PBEsol) of a geometry-optimized TaCd2W structure.

Properties
energy above the most stable polymorph in this dataset: 29.6 meV per atom
total energy: -6.75 eV per atom
formation energy from the elements: 0.44 eV per atom
total magnetization: 0.00 Bohr magnetons per cell

Unit cell a=2.753 b=4.353 c=6.013 alpha=90.00 beta=90.00 gamma=90.00
Positions (direct):
Cd: 0.000 0.000 0.001
Cd: 0.500 0.500 0.246
Ta: 0.000 0.000 0.521
W: 0.500 0.500 0.732

=====

No. 30
The following is a DFT calculation (GGA-PBEsol) of a geometry-optimized Ta2CdW structure.

Properties
total energy: -9.75 eV per atom
formation energy from the elements: 0.28 eV per atom
total magnetization: 0.00 Bohr magnetons per cell

Unit cell a=3.333 b=3.333 c=6.313 alpha=90.00 beta=90.00 gamma=90.00
Positions (direct):
Cd: 0.500 0.500 0.745
W: 0.000 0.000 0.478
Ta: 0.000 0.000 0.019
Ta: 0.500 0.500 0.257